Computed, not measured: a relaxed structure of Li3Mn3P4O16 at the PBE with a Hubbard U level of DFT.

Cell lengths 11.072, 5.987, 9.741 Å; angles 90.00, 115.91, 90.00 degrees
Space group Pc (No. 7)
Inequivalent atoms, fractional coordinates:
Li1 0.000 0.006 0.000 (multiplicity 2)
Li2 0.584 0.238 0.498 (multiplicity 2)
Li3 0.832 0.015 0.123 (multiplicity 2)
Mn1 0.283 0.497 0.893 (multiplicity 2)
Mn2 0.353 0.002 0.168 (multiplicity 2)
Mn3 0.794 0.493 0.336 (multiplicity 2)
P1 0.167 0.005 0.342 (multiplicity 2)
P2 0.475 0.491 0.747 (multiplicity 2)
P3 0.660 0.015 0.256 (multiplicity 2)
P4 0.973 0.487 0.643 (multiplicity 2)
O1 0.020 0.008 0.308 (multiplicity 2)
O2 0.129 0.500 0.202 (multiplicity 2)
O3 0.185 0.003 0.193 (multiplicity 2)
O4 0.244 0.196 0.951 (multiplicity 2)
O5 0.247 0.203 0.450 (multiplicity 2)
O6 0.400 0.291 0.780 (multiplicity 2)
O7 0.408 0.302 0.287 (multiplicity 2)
O8 0.454 0.492 0.580 (multiplicity 2)
O9 0.509 0.006 0.132 (multiplicity 2)
O10 0.624 0.496 0.861 (multiplicity 2)
O11 0.670 0.020 0.415 (multiplicity 2)
O12 0.726 0.188 0.715 (multiplicity 2)
O13 0.729 0.221 0.217 (multiplicity 2)
O14 0.906 0.313 0.029 (multiplicity 2)
O15 0.917 0.277 0.543 (multiplicity 2)
O16 0.945 0.498 0.784 (multiplicity 2)

Values from the calculation:
Magnetic moment ... 12.0 μB/f.u.
Distance to the lowest polymorph of the same formula ... 20 meV/atom